Below is crystalline Ce2PrHoS4 at its relaxed geometry, with properties calculated at the GGA-PBE level.

Properties
Fermi-level density of states: 1.421 states/eV per atom
formation energy from raw total energies: -2.019 eV/atom
spin magnetization: 1.61 μB per cell
space-group type: P2/m (10)

The structure in extended XYZ format:
```
8
Lattice="-3.246 1.292 1.943 -1.106 -6.430 2.429 4.058 3.479 4.464" Properties=species:S:1:pos:R:3 pbc="T T T"
Pr -2.176 -2.569 2.186
Ce 0.406 2.386 3.204
Ce 1.476 -1.476 3.447
Ho 0.000 0.000 0.000
S 0.171 -4.016 2.957
S 0.609 -1.617 6.206
S 2.781 1.065 3.937
S -0.904 -0.042 2.631
```

---

Below is crystalline LiEuPuHg at its relaxed geometry, with properties calculated at the GGA-PBE level.

Properties
Fermi-level density of states: 3.318 states/eV per atom
ΔE_f: 0 kJ per mole of atoms
spin magnetization: 13.50 μB per cell
space-group type: F-43m (216)

The structure in extended XYZ format:
```
4
Lattice="-2.610 -2.342 -4.114 2.666 -3.267 -3.383 -0.944 -5.322 0.077" Properties=species:S:1:pos:R:3 pbc="T T T"
Pu -0.667 -8.198 -5.565
Li 0.000 0.000 0.000
Eu -0.222 -2.733 -1.855
Hg -0.444 -5.465 -3.710
```

---

Which value of Fermi-level density of states does entry 1 give?
1.421 states/eV per atom

---

Which value of spin magnetization does entry 2 give?
13.50 μB per cell

---

What is the formula in the second record?
LiEuPuHg

---

spin magnetization of number 2 (LiEuPuHg)?
13.50 μB per cell